[1]
Crystalline KPuCuSe2S at its relaxed geometry, computed with PBE.

```
KPuCuSe2S
1.0
8.476 0.000 0.000
0.000 4.057 0.000
-3.024 0.000 9.172
Se K S Pu Cu
4 2 2 2 2
Cartesian
0.971 1.014 4.179
3.019 3.043 1.356
2.433 1.014 7.815
4.481 3.043 4.993
5.460 1.014 2.439
-0.008 3.043 6.733
-2.287 1.014 7.872
7.739 3.043 1.299
4.380 3.043 7.795
1.072 1.014 1.376
3.104 1.014 5.449
2.347 3.043 3.723
```

Properties
Energy (eV for the cell shown): -74.00


[2]
Crystalline SrBePt at its relaxed geometry, computed with PBE.

```
SrBePt
1.0
3.355 -2.945 -0.517
0.553 -3.322 2.976
-0.896 -4.244 -1.177
Be Pt Sr
1 1 1
Cartesian
0.000 0.000 0.000
0.753 -2.628 0.321
2.259 -7.883 0.962
```

Properties
E above lowest polymorph (meV/atom): 0.0


[3]
Crystalline HoB3W at its relaxed geometry, computed with PBE.

```
HoB3W
1.0
-2.227 -0.892 4.873
-2.595 -1.135 -1.393
3.217 -5.883 -1.198
B W Ho
6 2 2
Cartesian
-2.388 -4.572 2.809
0.784 -3.338 -0.528
0.056 -3.641 1.074
-0.845 -7.406 2.244
-0.759 -0.504 0.037
-1.660 -4.268 1.207
-0.139 -5.244 2.743
-1.465 -2.665 -0.462
-1.483 -2.107 2.690
-0.121 -5.802 -0.409
```

Properties
Energy (eV for the cell shown): -81.11


[4]
Crystalline Li4GaAsPt2 at its relaxed geometry, computed with PBE.

```
Li4GaAsPt2
1.0
4.280 0.000 0.000
0.000 4.280 0.000
0.000 0.000 6.050
Ga Li Pt As
1 4 2 1
Cartesian
2.140 2.140 3.025
2.140 2.140 0.000
0.000 0.000 3.025
0.000 2.140 1.513
2.140 0.000 4.538
0.000 2.140 4.536
2.140 0.000 1.514
0.000 0.000 0.000
```

Properties
Energy (eV for the cell shown): -32.67


[5]
Crystalline SnPtSO at its relaxed geometry, computed with PBE.

```
SnPtSO
1.0
-2.517 2.002 4.734
0.992 -6.533 3.290
5.671 1.962 2.186
Pt Sn O S
4 4 4 4
Cartesian
3.950 -3.296 3.647
2.320 0.152 4.782
-0.032 -3.364 4.712
-1.662 0.084 5.846
4.589 1.521 4.582
2.522 -0.070 2.045
1.902 -3.279 6.532
3.970 -1.687 9.068
3.761 2.960 6.138
5.844 -3.474 6.507
3.155 -4.570 5.140
1.072 1.863 4.770
1.514 -3.199 2.910
3.638 -1.652 5.341
0.084 -1.064 4.705
2.208 0.483 7.136
```

Properties
E above lowest polymorph (meV/atom): 30.7


[6]
Crystalline BW14N24 at its relaxed geometry, computed with PBE.

```
BW14N24
1.0
-3.758 3.758 6.908
3.758 -3.758 6.908
3.758 3.758 -6.908
W N B
14 24 1
Cartesian
-1.852 4.541 4.802
-0.101 2.398 6.908
0.000 0.000 4.524
3.859 1.360 0.000
2.398 0.101 6.908
2.975 -1.852 4.802
1.906 0.783 2.106
0.783 5.610 2.106
1.852 2.975 4.802
5.610 -0.783 2.106
1.360 3.657 0.000
0.000 0.000 9.291
-0.783 1.906 2.106
4.541 1.852 4.802
1.921 4.424 3.510
1.219 1.238 5.686
0.000 3.758 5.344
1.238 -1.219 5.686
0.666 1.837 10.418
3.758 0.000 1.564
0.197 5.795 0.000
3.092 1.921 3.510
3.561 -2.037 6.908
3.758 0.000 5.344
1.837 -0.666 3.397
1.238 -1.219 8.130
2.037 3.561 6.908
2.539 2.521 1.222
0.666 1.837 3.397
1.837 -0.666 10.418
2.521 4.977 -1.222
1.921 4.424 -3.510
1.219 1.238 8.130
2.521 4.977 1.222
0.000 3.758 1.564
1.721 0.197 0.000
2.539 2.521 -1.222
3.092 1.921 -3.510
0.000 0.000 0.000
```

Properties
Energy (eV for the cell shown): -387.85


[7]
Crystalline Zr2OsPb at its relaxed geometry, computed with PBE.

```
Zr2OsPb
1.0
-4.066 -0.495 2.585
-4.224 -0.744 -2.249
-2.172 -4.319 0.294
Pb Zr Os
1 2 1
Cartesian
-5.231 -2.779 0.315
0.000 0.000 0.000
-7.846 -4.169 0.472
-2.615 -1.390 0.157
```

Properties
Energy (eV for the cell shown): -31.38


[8]
Crystalline HfInCuSeS2 at its relaxed geometry, computed with PBE.

```
HfInCuSeS2
1.0
1.854 -7.152 0.000
1.854 7.152 0.000
0.000 0.000 9.993
In Se S Cu Hf
2 2 4 2 2
Cartesian
1.854 3.637 7.495
1.854 -3.637 2.498
1.854 -6.115 7.495
1.854 6.115 2.498
1.854 -1.719 5.504
1.854 1.719 0.507
1.854 1.719 4.490
1.854 -1.719 9.486
1.854 -0.598 7.495
1.854 0.598 2.498
0.000 0.000 0.000
0.000 0.000 4.997
```

Properties
Energy (eV for the cell shown): -66.96


[9]
Crystalline Dy3Ho2Tm2Ni2Te2 at its relaxed geometry, computed with PBE.

```
Dy3Ho2Tm2Ni2Te2
1.0
-1.916 7.767 4.760
1.916 -7.767 4.760
1.916 7.767 -4.760
Ni Tm Dy Ho Te
2 2 3 2 2
Cartesian
0.000 3.675 7.174
1.916 4.092 2.415
1.916 2.278 -0.845
0.000 5.489 3.915
1.916 5.702 -2.249
0.000 0.000 6.490
0.000 2.064 2.510
0.000 4.887 0.576
0.000 10.646 0.576
0.000 0.000 0.168
1.916 0.000 3.970
```

Properties
Energy (eV for the cell shown): -56.77


[10]
Crystalline NbFeCoAs at its relaxed geometry, computed with PBE.

```
NbFeCoAs
1.0
2.487 -3.153 -1.440
-1.596 -2.930 -2.658
1.216 -0.059 -4.088
As Fe Co Nb
1 1 1 1
Cartesian
0.000 0.000 0.000
1.580 -4.606 -6.140
1.054 -3.071 -4.093
0.527 -1.535 -2.047
```

Properties
E above lowest polymorph (meV/atom): 46.3


[11]
Crystalline Tm6InNi2 at its relaxed geometry, computed with PBE.

```
Tm6InNi2
1.0
-4.605 4.761 4.972
4.605 -4.761 4.972
4.605 4.761 -4.972
In Ni Tm
2 4 12
Cartesian
0.000 0.000 4.972
0.000 0.000 0.000
0.000 4.761 3.748
0.000 3.358 0.000
4.605 0.000 1.224
0.000 6.164 0.000
0.000 1.957 7.611
4.605 2.804 -2.639
1.789 4.761 1.745
1.931 3.011 4.972
1.789 4.761 -1.745
2.816 0.000 3.227
0.000 1.957 2.332
4.605 2.804 2.639
6.537 1.750 0.000
2.674 1.750 0.000
2.816 0.000 6.717
-1.931 3.011 4.972
```

Properties
Energy (eV for the cell shown): -88.19


[12]
Crystalline PmTlAg at its relaxed geometry, computed with PBE.

```
PmTlAg
1.0
-4.701 0.733 1.506
2.258 -4.357 0.903
1.169 1.237 3.046
Ag Tl Pm
1 1 1
Cartesian
0.974 1.030 2.538
0.913 -1.630 3.643
-1.991 -0.552 2.320
```

Properties
E above lowest polymorph (meV/atom): 0.0